(1)
# TlIn2Mo

A relaxed TlIn2Mo crystal (GGA-PBEsol, Alexandria via LeMat-Bulk).

- energy relative to the lowest polymorph listed for this composition (meV/atom) = 90

a = 3.0236 Å, b = 5.1150 Å, c = 5.2949 Å
α = 90.00°, β = 90.04°, γ = 90.00°
Fractional coordinates of all 4 atoms:
1 In 0.8744 0.0000 0.0402
2 In 0.8756 0.5000 0.6998
3 Mo 0.3755 0.0000 0.5429
4 Tl 0.3744 0.5000 0.2171

***

(2)
# TlIn2Mo

A relaxed TlIn2Mo crystal (GGA-PBEsol, Alexandria via LeMat-Bulk).

- energy relative to the lowest polymorph listed for this composition (meV/atom) = 104

a = 4.1829 Å, b = 4.1777 Å, c = 5.4707 Å
α = 112.45°, β = 112.48°, γ = 90.00°
Fractional coordinates of all 4 atoms:
1 In 0.0000 0.0000 0.0000
2 In 0.7498 0.2498 0.4997
3 Mo 0.5000 0.5000 0.0000
4 Tl 0.2502 0.7502 0.5003

***

(3)
# TlIn2Mo

A relaxed TlIn2Mo crystal (GGA-PBEsol, Alexandria via LeMat-Bulk).

- energy relative to the lowest polymorph listed for this composition (meV/atom) = 0

a = 3.0126 Å, b = 3.0126 Å, c = 9.5365 Å
α = 90.00°, β = 90.00°, γ = 90.00°
Fractional coordinates of all 4 atoms:
1 In 0.0000 0.0000 0.7893
2 In 0.0000 0.0000 0.2107
3 Mo 0.5000 0.5000 0.0000
4 Tl 0.5000 0.5000 0.5000

***

(4)
# InMo2W

A relaxed InMo2W crystal (GGA-PBEsol, Alexandria via LeMat-Bulk).

a = 2.7600 Å, b = 4.4546 Å, c = 5.4975 Å
α = 90.00°, β = 103.59°, γ = 90.00°
Fractional coordinates of all 4 atoms:
1 In 0.2519 0.5000 0.7526
2 Mo 0.9733 0.0000 0.0100
3 Mo 0.7513 0.5000 0.2514
4 W 0.5235 0.0000 0.4860

***

(5)
# InMoW

A relaxed InMoW crystal (GGA-PBEsol, Alexandria via LeMat-Bulk).

- energy relative to the lowest polymorph listed for this composition (meV/atom) = 171

a = 2.8682 Å, b = 2.8682 Å, c = 7.1712 Å
α = 90.00°, β = 90.00°, γ = 120.00°
Fractional coordinates of all 3 atoms:
1 In 0.0000 0.0000 0.9987
2 Mo 0.3333 0.6667 0.6581
3 W 0.6667 0.3333 0.3432

***

(6)
# InMoW

A relaxed InMoW crystal (GGA-PBEsol, Alexandria via LeMat-Bulk).

- energy relative to the lowest polymorph listed for this composition (meV/atom) = 0

a = 2.8519 Å, b = 2.8519 Å, c = 7.0450 Å
α = 97.23°, β = 97.23°, γ = 112.24°
Fractional coordinates of all 3 atoms:
1 In 0.9992 0.9992 0.9984
2 Mo 0.3247 0.3247 0.6495
3 W 0.6761 0.6761 0.3521

***

(7)
# Y2InMo

A relaxed Y2InMo crystal (GGA-PBEsol, Alexandria via LeMat-Bulk).

a = 3.1774 Å, b = 5.2393 Å, c = 5.8680 Å
α = 99.26°, β = 90.00°, γ = 107.65°
Fractional coordinates of all 4 atoms:
1 In 0.5000 0.0000 0.0000
2 Mo 0.0000 0.0000 0.5000
3 Y 0.7440 0.4879 0.7397
4 Y 0.2560 0.5121 0.2603

***

(8)
# YInMo2

A relaxed YInMo2 crystal (GGA-PBEsol, Alexandria via LeMat-Bulk).

a = 2.8616 Å, b = 2.8616 Å, c = 9.2776 Å
α = 90.00°, β = 90.00°, γ = 90.00°
Fractional coordinates of all 4 atoms:
1 In 0.5000 0.5000 0.5000
2 Mo 0.0000 0.0000 0.7327
3 Mo 0.0000 0.0000 0.2673
4 Y 0.5000 0.5000 0.0000

***

no.,VASP energy (eV for the cell shown),total magnetic moment (μB/cell)
1,-18.6,0.0
2,-18.6,0.9
3,-19.0,0.0
4,-39.0,0.0
5,-27.0,0.0
6,-27.5,0.0
7,-27.3,0.0
8,-31.2,0.0